(1)
Below is an optimized crystal structure of ScBeAl2, with properties calculated at the PBE level.

Cell: 8.930 8.930 8.930 Å, 19.29 19.29 19.29°
Atoms (fractional coordinates):
Be  0.505  0.505  0.505
Sc  0.756  0.756  0.756
Al  0.996  0.996  0.996
Al  0.242  0.242  0.242

The value obtained for the total energy is -16.93 eV/f.u. The calculation puts the density of states at the Fermi level at 0.65 states/eV per atom. Its crystal system is trigonal.

---

(2)
Below is an optimized crystal structure of Zn2NiOs, with properties calculated at the PBE level.

Cell: 4.573 4.573 4.573 Å, 131.14 131.14 71.59°
Atoms (fractional coordinates):
Zn  0.250  0.750  0.500
Zn  0.000  0.000  0.000
Ni  0.500  0.500  0.000
Os  0.750  0.250  0.500

The value obtained for the total energy is -18.78 eV/f.u. The calculation puts the density of states at the Fermi level at 1.05 states/eV per atom. Its crystal system is tetragonal.

---

(3)
Below is an optimized crystal structure of FeSbTe, with properties calculated at the PBE level.

Cell: 6.369 6.553 6.525 Å, 114.78 90.00 90.00°
Atoms (fractional coordinates):
Fe  0.001  0.290  0.277
Fe  0.501  0.210  0.723
Fe  0.999  0.710  0.723
Fe  0.499  0.790  0.277
Te  0.360  0.172  0.350
Te  0.640  0.828  0.650
Te  0.860  0.328  0.650
Te  0.140  0.672  0.350
Sb  0.855  0.880  0.138
Sb  0.145  0.120  0.862
Sb  0.355  0.620  0.862
Sb  0.645  0.380  0.138

The value obtained for the total energy is -16.13 eV/f.u. The value obtained for the uncorrected formation energy is -136 meV per atom. The calculation puts the density of states at the Fermi level at 0.00 states/eV per atom. Its crystal system is monoclinic.

---

(4)
Below is an optimized crystal structure of MgZn3Au, with properties calculated at the PBE level.

Cell: 5.183 5.250 6.262 Å, 90.00 89.08 90.00°
Atoms (fractional coordinates):
Zn  0.855  0.504  0.823
Zn  0.115  0.750  0.526
Zn  0.855  0.996  0.823
Zn  0.885  0.250  0.474
Zn  0.145  0.496  0.177
Zn  0.145  0.004  0.177
Au  0.599  0.250  0.136
Au  0.401  0.750  0.864
Mg  0.372  0.250  0.678
Mg  0.628  0.750  0.322

The value obtained for the total energy is -9.60 eV/f.u. For the excess energy over the best structure of this formula in the dataset, the calculation gives 20 meV per atom. The calculation puts the density of states at the Fermi level at 0.26 states/eV per atom. Its crystal system is monoclinic.

---

(5)
Below is an optimized crystal structure of Zn2CuSF, with properties calculated at the PBE level.

Cell: 4.476 4.058 4.476 Å, 90.00 90.00 90.00°
Atoms (fractional coordinates):
Zn  0.500  0.000  0.000
Zn  0.000  0.000  0.500
Cu  0.000  0.500  0.000
S  0.500  0.500  0.500
F  0.000  0.000  0.000

The value obtained for the total energy is -12.94 eV/f.u. The value obtained for the uncorrected formation energy is -60 meV per atom. The calculation puts the density of states at the Fermi level at 0.14 states/eV per atom. Its crystal system is tetragonal.

---

(6)
Below is an optimized crystal structure of Ce8IrRh5, with properties calculated at the PBE level.

Cell: 7.519 7.519 7.519 Å, 109.42 109.58 109.42°
Atoms (fractional coordinates):
Ce  0.509  0.635  0.256
Ce  0.124  0.749  0.990
Ce  0.010  0.134  0.759
Ce  0.241  0.251  0.375
Ce  0.621  0.365  0.874
Ce  0.744  0.253  0.379
Ce  0.625  0.866  0.876
Ce  0.126  0.747  0.491
Rh  0.877  0.875  0.251
Rh  0.749  0.626  0.624
Rh  0.998  0.374  0.123
Rh  0.376  0.125  0.002
Rh  0.500  0.000  0.500
Ir  0.250  0.500  0.750

The value obtained for the total energy is -102.47 eV/f.u. The calculation puts the density of states at the Fermi level at 2.36 states/eV per atom. Its crystal system is tetragonal.

---

(7)
Below is an optimized crystal structure of Li2Cd2Pd7, with properties calculated at the PBE level.

Cell: 4.980 6.248 6.248 Å, 97.43 104.03 104.03°
Atoms (fractional coordinates):
Pd  0.313  0.072  0.586
Pd  0.687  0.414  0.928
Pd  0.669  0.394  0.394
Pd  0.500  0.000  0.000
Pd  0.331  0.606  0.606
Pd  0.313  0.586  0.072
Pd  0.687  0.928  0.414
Li  0.000  0.264  0.736
Li  0.000  0.736  0.264
Cd  0.068  0.222  0.222
Cd  0.932  0.778  0.778

The value obtained for the total energy is -44.37 eV/f.u. The calculation puts the density of states at the Fermi level at 0.55 states/eV per atom. Its crystal system is monoclinic.

---

(8)
Below is an optimized crystal structure of La2YSc2In5, with properties calculated at the PBE level.

Cell: 4.655 10.752 10.752 Å, 90.00 90.00 90.00°
Atoms (fractional coordinates):
In  0.500  0.438  0.297
In  0.500  0.297  0.562
In  0.500  0.938  0.203
In  0.500  0.203  0.062
In  0.500  0.797  0.938
In  0.500  0.500  0.000
In  0.500  0.703  0.438
In  0.500  0.062  0.797
In  0.500  0.000  0.500
In  0.500  0.562  0.703
Y  0.000  0.500  0.500
Y  0.000  0.000  0.000
Sc  0.000  0.119  0.619
Sc  0.000  0.619  0.881
Sc  0.000  0.381  0.119
Sc  0.000  0.881  0.381
La  0.000  0.179  0.321
La  0.000  0.821  0.679
La  0.000  0.321  0.821
La  0.000  0.679  0.179

The value obtained for the total energy is -46.78 eV/f.u. The calculation puts the density of states at the Fermi level at 0.99 states/eV per atom. Its crystal system is tetragonal.

---

(9)
Below is an optimized crystal structure of Mn3FeCo, with properties calculated at the PBE level.

Cell: 4.375 4.375 4.375 Å, 90.00 90.00 90.00°
Atoms (fractional coordinates):
Mn  0.000  0.500  0.000
Mn  0.500  0.000  0.000
Mn  0.000  0.000  0.500
Fe  0.500  0.500  0.500
Co  0.000  0.000  0.000

The value obtained for the total energy is -37.36 eV/f.u. For the excess energy over the best structure of this formula in the dataset, the calculation gives 1079 meV per atom. The calculation puts the density of states at the Fermi level at 1.57 states/eV per atom. Its crystal system is cubic.

---

(10)
Below is an optimized crystal structure of Sm2Al4CuAu3, with properties calculated at the PBE level.

Cell: 4.332 4.332 10.536 Å, 90.00 90.00 90.00°
Atoms (fractional coordinates):
Al  0.500  0.000  0.627
Al  0.000  0.000  0.000
Al  0.500  0.500  0.000
Al  0.000  0.500  0.373
Au  0.000  0.000  0.500
Au  0.000  0.500  0.135
Au  0.500  0.000  0.865
Sm  0.000  0.500  0.744
Sm  0.500  0.000  0.256
Cu  0.500  0.500  0.500

The value obtained for the total energy is -45.00 eV/f.u. The calculation puts the density of states at the Fermi level at 0.44 states/eV per atom. Its crystal system is tetragonal.

---

(11)
Below is an optimized crystal structure of Li3TlPd3O8, with properties calculated at the PBE level.

Cell: 6.107 6.782 5.707 Å, 118.54 90.00 116.76°
Atoms (fractional coordinates):
Pd  0.500  0.000  0.500
Pd  0.500  0.500  0.500
Pd  0.000  0.500  0.500
O  0.204  0.408  0.215
O  0.776  0.102  0.317
O  0.674  0.898  0.683
O  0.243  0.486  0.736
O  0.326  0.102  0.317
O  0.796  0.592  0.785
O  0.757  0.514  0.264
O  0.224  0.898  0.683
Tl  0.000  0.000  0.500
Li  0.000  0.500  0.000
Li  0.500  0.500  0.000
Li  0.000  0.000  0.000

The value obtained for the total energy is -75.95 eV/f.u. The value obtained for the uncorrected formation energy is -840 meV per atom. Its crystal system is monoclinic.

---

(12)
Below is an optimized crystal structure of Li2LaSe, with properties calculated at the PBE level.

Cell: 4.222 4.222 11.820 Å, 79.71 79.71 90.00°
Atoms (fractional coordinates):
Se  0.250  0.750  0.500
Se  0.500  0.500  0.000
La  0.750  0.250  0.500
La  0.000  0.000  0.000
Li  0.165  0.625  0.250
Li  0.875  0.835  0.750
Li  0.585  0.125  0.250
Li  0.375  0.415  0.750

The value obtained for the total energy is -15.08 eV/f.u. The value obtained for the uncorrected formation energy is -709 meV per atom. The calculation puts the density of states at the Fermi level at 0.56 states/eV per atom. Its crystal system is tetragonal.

---

| no. | total magnetic moment (Bohr magnetons per cell) |
| --- | --- |
| 1 | 0.001 |
| 2 | 0.001 |
| 3 | 0.000 |
| 4 | 0.000 |
| 5 | 0.000 |
| 6 | 3.790 |
| 7 | 0.000 |
| 8 | 0.247 |
| 9 | 14.729 |
| 10 | 0.000 |
| 11 | 0.000 |
| 12 | 0.000 |